The following is a PBE calculation of crystalline Tb5Ho3Sc2 at its relaxed geometry, from Alexandria via LeMat-Bulk.

Output
- Energy of formation from the pure elements: 0.04 eV per atom
- Calculated volume: 600 Å³ per cell

a b c (Å): 9.2262 9.2292 9.2296
angles (deg): 106.71 115.25 106.61
With the nearest neighbours (Å) after each atom.
Positions (direct):
Tb 0.0745 0.0512 0.2271  5 Ho 3.47-3.51, 2 Sc 3.48-3.49, 5 Tb 3.48-3.52
Tb 0.1283 0.7504 0.3779  6 Ho 3.45-3.54, 4 Tb 3.46-3.52, 2 Sc 3.48-3.49
Tb 0.1778 0.4529 0.5258  6 Tb 3.45-3.52, 4 Sc 3.46-3.54, 2 Ho 3.47-3.52
Tb 0.3243 0.5517 0.9770  5 Ho 3.47-3.51, 2 Sc 3.48, 5 Tb 3.50-3.52
Tb 0.3782 0.2499 0.1284  3 Ho 3.45-3.51, 5 Tb 3.45-3.52, 4 Sc 3.45-3.48
Tb 0.6218 0.7501 0.8716  3 Ho 3.45-3.51, 5 Tb 3.45-3.52, 4 Sc 3.45-3.48
Tb 0.6757 0.4483 0.0230  5 Ho 3.47-3.51, 2 Sc 3.48, 5 Tb 3.50-3.52
Tb 0.8222 0.5471 0.4742  6 Tb 3.45-3.52, 4 Sc 3.46-3.54, 2 Ho 3.47-3.52
Tb 0.8717 0.2496 0.6221  6 Ho 3.45-3.54, 4 Tb 3.46-3.52, 2 Sc 3.48-3.49
Tb 0.9255 0.9488 0.7729  5 Ho 3.47-3.51, 2 Sc 3.48-3.49, 5 Tb 3.48-3.52
Ho 0.0255 0.3495 0.0775  8 Tb 3.47-3.53, 2 Sc 3.48-3.49, 2 Ho 3.51-3.53
Ho 0.2285 0.1502 0.6763  2 Ho 3.46-3.53, 8 Tb 3.47-3.54, 2 Sc 3.47-3.49
Ho 0.4270 0.9529 0.2753  5 Tb 3.45-3.50, 4 Sc 3.46-3.53, 3 Ho 3.46-3.51
Ho 0.5730 0.0471 0.7247  5 Tb 3.45-3.50, 4 Sc 3.46-3.53, 3 Ho 3.46-3.51
Ho 0.7715 0.8498 0.3237  2 Ho 3.46-3.53, 8 Tb 3.47-3.54, 2 Sc 3.47-3.49
Ho 0.9745 0.6505 0.9225  8 Tb 3.47-3.53, 2 Sc 3.48-3.49, 2 Ho 3.51-3.53
Sc 0.2786 0.8521 0.8285  1 Sc 3.43, 7 Tb 3.45-3.54, 4 Ho 3.46-3.49
Sc 0.4764 0.6492 0.4261  7 Tb 3.46-3.48, 1 Sc 3.46, 4 Ho 3.47-3.53
Sc 0.5236 0.3508 0.5739  7 Tb 3.46-3.48, 1 Sc 3.46, 4 Ho 3.47-3.53
Sc 0.7214 0.1479 0.1715  1 Sc 3.43, 7 Tb 3.45-3.54, 4 Ho 3.46-3.49